No. 1
LiFe3Br, relaxed, DFT PBE; D(E_F) = 8.9 states/eV/f.u.; symmetry = Pm-3m (221); polymorph energy (0 for the lowest one) = 216 meV/atom; E_form (uncorrected) = 1.23 eV per atom
1.0
-2.199 -3.604 0.691
3.665 -2.118 0.617
-0.178 0.909 4.176
Fe Br Li
3 1 1
direct
0.000 0.500 0.000
0.000 0.000 0.500
0.500 0.000 0.000
0.500 0.500 0.500
0.000 0.000 0.000

No. 2
PrSmTm2Tl4, relaxed, DFT PBE; D(E_F) = 6.1 states/eV/f.u.; symmetry = R-3m (166); formation energy from the elements = -0.335 eV per atom
1.0
5.411 0.000 0.000
2.706 4.686 0.000
2.706 1.562 8.863
Pr Sm Tm Tl
1 1 2 4
direct
0.000 0.000 0.000
0.500 0.500 0.500
0.750 0.750 0.750
0.250 0.250 0.250
0.376 0.376 0.872
0.874 0.874 0.378
0.126 0.126 0.622
0.624 0.624 0.128

No. 3
Li2CrIr, relaxed, DFT PBE; D(E_F) = 3.5 states/eV/f.u.; symmetry = R-3m (166); polymorph energy (0 for the lowest one) = 170 meV/atom; formation energy from the elements = 0.191 eV per atom
1.0
9.354 0.006 0.003
8.988 2.589 0.003
8.988 1.272 2.256
Cr Ir Li
1 1 2
direct
0.250 0.250 0.250
0.750 0.750 0.750
0.002 0.002 0.002
0.498 0.498 0.498

No. 4
Tb3Y3Ho8, relaxed, DFT PBE; D(E_F) = 22.4 states/eV/f.u.; symmetry = Immm (71); polymorph energy (0 for the lowest one) = 8 meV/atom; formation energy from the elements = 0.117 eV per atom
1.0
5.491 0.000 1.104
2.691 9.170 0.822
1.043 -3.088 9.022
Tb Y Ho
3 3 8
direct
0.500 0.000 0.000
0.000 0.817 0.183
0.000 0.183 0.817
0.500 0.500 0.500
0.799 0.201 0.201
0.201 0.799 0.799
0.659 0.118 0.564
0.341 0.882 0.436
0.659 0.564 0.118
0.341 0.436 0.882
0.842 0.761 0.554
0.158 0.239 0.446
0.842 0.554 0.761
0.158 0.446 0.239

No. 5
In2Pb3Au4, relaxed, DFT PBE; D(E_F) = 3.3 states/eV/f.u.; symmetry = C2/m (12); formation energy from the elements = -0.107 eV per atom
1.0
3.944 0.000 0.000
-1.972 6.612 -0.553
0.000 -3.545 8.936
In Pb Au
2 3 4
direct
0.680 0.359 0.332
0.320 0.641 0.668
0.608 0.215 0.714
0.000 0.000 0.000
0.392 0.785 0.286
0.695 0.390 0.056
0.305 0.610 0.944
0.913 0.827 0.557
0.087 0.173 0.443

No. 6
HoBe4Rh, relaxed, DFT PBE; symmetry = F-43m (216); formation energy from the elements = -0.372 eV per atom
1.0
4.660 0.000 0.000
2.330 4.036 0.000
2.330 1.345 3.805
Be Rh Ho
4 1 1
direct
0.628 0.628 0.115
0.628 0.115 0.628
0.628 0.628 0.628
0.115 0.628 0.628
0.000 0.000 0.000
0.250 0.250 0.250

No. 7
Mg2CrSiI, relaxed, DFT PBE; D(E_F) = 4.1 states/eV/f.u.; symmetry = P4/mmm (123); E_form (uncorrected) = 1.27 eV per atom
1.0
5.446 0.000 0.000
0.000 5.412 0.000
0.000 0.000 5.446
I Cr Si Mg
1 1 1 2
direct
0.000 0.000 0.000
0.500 0.500 0.500
0.000 0.500 0.000
0.000 0.000 0.500
0.500 0.000 0.000

No. 8
Cu2TeRh, relaxed, DFT PBE; D(E_F) = 1.3 states/eV/f.u.; symmetry = I4/mmm (139); E_form (uncorrected) = 0.06 eV per atom
1.0
-1.592 1.880 -4.314
-4.595 -1.433 -1.230
2.070 1.921 4.087
Cu Rh Te
2 1 1
direct
0.000 0.000 0.000
0.500 0.500 0.000
0.750 0.250 0.500
0.250 0.750 0.500

No. 9
Ce2B10Pd, relaxed, DFT PBE; D(E_F) = 7.9 states/eV/f.u.; symmetry = Pbam (55); formation energy from the elements = -0.526 eV per atom
1.0
4.183 0.000 0.000
0.000 5.736 0.000
0.000 0.000 11.411
Ce B Pd
4 20 2
direct
0.500 0.309 0.859
0.500 0.691 0.141
0.500 0.809 0.641
0.500 0.191 0.359
0.000 0.115 0.544
0.000 0.885 0.456
0.000 0.615 0.956
0.000 0.385 0.044
0.000 0.139 0.698
0.000 0.861 0.302
0.303 0.219 0.120
0.303 0.781 0.880
0.697 0.719 0.380
0.697 0.281 0.620
0.697 0.781 0.880
0.697 0.219 0.120
0.303 0.281 0.620
0.303 0.719 0.380
0.000 0.055 0.194
0.000 0.945 0.806
0.000 0.555 0.306
0.000 0.445 0.694
0.000 0.361 0.198
0.000 0.639 0.802
0.000 0.500 0.500
0.000 0.000 0.000

No. 10
OsRu2Au, relaxed, DFT PBE; D(E_F) = 3.6 states/eV/f.u.; symmetry = Pmmm (47); polymorph energy (0 for the lowest one) = 66 meV/atom; formation energy from the elements = 0.303 eV per atom
1.0
3.852 0.000 0.000
0.000 2.758 0.003
0.000 2.748 5.645
Au Os Ru
1 1 2
direct
0.500 0.250 0.250
0.500 0.750 0.750
0.000 0.023 0.978
0.000 0.477 0.522

No. 11
KNiHg, relaxed, DFT PBE; D(E_F) = 1.3 states/eV/f.u.; symmetry = Imm2 (44); polymorph energy (0 for the lowest one) = 0 meV/atom; formation energy from the elements = 0.216 eV per atom
1.0
6.487 0.015 -0.021
4.398 4.769 0.021
-5.149 -3.059 2.492
Hg K Ni
1 1 1
direct
0.937 0.937 0.000
0.663 0.663 0.000
0.400 0.400 0.000

No. 12
PuThCoRu, relaxed, DFT PBE; D(E_F) = 7.7 states/eV/f.u.; symmetry = F-43m (216); formation energy from the elements = -0.133 eV per atom
1.0
-4.432 1.664 1.106
-1.465 0.121 4.634
-0.496 4.264 2.282
Ru Co Th Pu
1 1 1 1
direct
0.750 0.750 0.750
0.250 0.250 0.250
0.000 0.000 0.000
0.500 0.500 0.500

No. 13
Y2GaFe, relaxed, DFT PBE; D(E_F) = 5.6 states/eV/f.u.; symmetry = P4/mmm (123); polymorph energy (0 for the lowest one) = 0 meV/atom; formation energy from the elements = -0.224 eV per atom
1.0
-0.387 -3.339 1.010
2.571 0.414 2.353
-4.713 1.998 4.800
Y Fe Ga
2 1 1
direct
0.000 0.000 0.765
0.000 0.000 0.235
0.500 0.500 0.000
0.500 0.500 0.500

No. 14
LiCdAg2, relaxed, DFT PBE; D(E_F) = 0.9 states/eV/f.u.; symmetry = P2/m (10); formation energy from the elements = -0.155 eV per atom
1.0
3.824 0.000 0.000
0.000 3.053 0.395
0.000 2.452 6.480
Li Ag Cd
1 2 1
direct
0.500 0.750 0.750
0.000 0.022 0.984
0.000 0.478 0.516
0.500 0.250 0.250

No. 15
In3BiBr, relaxed, DFT PBE; D(E_F) = 4.2 states/eV/f.u.; symmetry = Pm-3m (221); polymorph energy (0 for the lowest one) = 62 meV/atom; E_form (uncorrected) = 0.26 eV per atom
1.0
-2.407 3.976 -3.490
-3.908 1.248 4.117
3.565 4.052 2.157
Bi Br In
1 1 3
direct
0.500 0.500 0.500
0.000 0.000 0.000
0.000 0.500 0.000
0.000 0.000 0.500
0.500 0.000 0.000

No. 16
Sm2Ho2Cd, relaxed, DFT PBE; D(E_F) = 7.6 states/eV/f.u.; symmetry = I4/mmm (139); polymorph energy (0 for the lowest one) = 0 meV/atom; formation energy from the elements = -0.112 eV per atom
1.0
-0.197 2.510 2.562
-3.587 -0.118 -0.161
1.799 -9.540 6.966
Sm Ho Cd
2 2 1
direct
0.806 0.806 0.611
0.194 0.194 0.389
0.587 0.587 0.174
0.413 0.413 0.826
0.000 0.000 0.000

No. 17
AcSnSeO2, relaxed, DFT PBE; D(E_F) = 3.4 states/eV/f.u.; symmetry = Cmcm (63); E_form (uncorrected) = -1.99 eV per atom
1.0
-5.388 -1.203 1.175
-0.524 -2.574 -5.036
2.045 -4.158 5.116
Ac Sn Se O
2 2 2 4
direct
0.250 0.621 0.242
0.750 0.379 0.758
0.250 0.922 0.845
0.750 0.078 0.155
0.750 0.748 0.496
0.250 0.252 0.504
0.500 0.235 0.000
0.000 0.765 0.000
0.500 0.765 0.000
0.000 0.235 0.000

No. 18
PaGaFeTc, relaxed, DFT PBE; D(E_F) = 3.9 states/eV/f.u.; symmetry = F-43m (216); formation energy from the elements = -0.209 eV per atom
1.0
4.523 0.000 0.000
2.261 3.917 0.000
2.261 1.306 3.693
Pa Tc Ga Fe
1 1 1 1
direct
0.000 0.000 0.000
0.250 0.250 0.250
0.500 0.500 0.500
0.750 0.750 0.750

No. 19
KMgIr2Au, relaxed, DFT PBE; D(E_F) = 2.6 states/eV/f.u.; symmetry = P4/mmm (123); formation energy from the elements = 2.280 eV per atom
1.0
-2.224 -4.127 0.590
2.789 -1.973 -3.290
3.108 -1.196 3.352
K Ir Au Mg
1 2 1 1
direct
0.000 0.000 0.000
0.000 0.000 0.500
0.500 0.000 0.000
0.500 0.500 0.500
0.000 0.500 0.000

No. 20
ScZnTc, relaxed, DFT PBE; D(E_F) = 3.6 states/eV/f.u.; symmetry = Fmm2 (42); polymorph energy (0 for the lowest one) = 328 meV/atom; formation energy from the elements = 0.010 eV per atom
1.0
6.760 -0.002 0.002
6.007 2.750 0.024
0.752 -0.559 2.694
Sc Tc Zn
1 1 1
direct
0.993 0.993 0.007
0.331 0.331 0.669
0.676 0.676 0.324

No. 21
KCd2PbBr8, relaxed, DFT PBE; D(E_F) = 24.3 states/eV/f.u.; symmetry = I-4m2 (119); E_form (uncorrected) = -0.83 eV per atom
1.0
8.595 -0.128 0.000
-3.927 7.647 0.000
-2.334 -3.759 7.370
K Cd Pb Br
1 2 1 8
direct
0.250 0.750 0.500
0.750 0.250 0.500
0.500 0.500 0.000
0.000 0.000 0.000
0.368 0.067 0.301
0.293 0.473 0.180
0.293 0.113 0.820
0.766 0.067 0.699
0.887 0.707 0.180
0.933 0.234 0.301
0.933 0.632 0.699
0.527 0.707 0.820

No. 22
Ga3SnIr3, relaxed, DFT PBE; D(E_F) = 3.5 states/eV/f.u.; symmetry = P2_13 (198); formation energy from the elements = -0.181 eV per atom
1.0
7.651 0.000 0.000
0.000 7.651 0.000
0.000 0.000 7.651
Ga Sn Ir
12 4 12
direct
0.819 0.319 0.181
0.873 0.873 0.873
0.845 0.655 0.345
0.181 0.819 0.319
0.155 0.155 0.155
0.345 0.845 0.655
0.127 0.373 0.627
0.319 0.181 0.819
0.655 0.345 0.845
0.681 0.681 0.681
0.627 0.127 0.373
0.373 0.627 0.127
0.036 0.536 0.964
0.964 0.036 0.536
0.464 0.464 0.464
0.536 0.964 0.036
0.694 0.629 0.038
0.871 0.962 0.194
0.038 0.694 0.629
0.129 0.462 0.306
0.306 0.129 0.462
0.194 0.871 0.962
0.962 0.194 0.871
0.371 0.538 0.806
0.462 0.306 0.129
0.629 0.038 0.694
0.806 0.371 0.538
0.538 0.806 0.371

No. 23
CuPtSe2, relaxed, DFT PBE; D(E_F) = 2.2 states/eV/f.u.; symmetry = Cm (8); E_form (uncorrected) = 0.02 eV per atom
1.0
5.765 0.042 -0.142
4.570 3.515 -0.142
-0.661 -0.227 3.621
Cu Pt Se
1 1 2
direct
0.500 0.500 0.513
0.253 0.253 0.231
0.012 0.012 0.046
0.735 0.735 0.710

No. 24
MgZnCd, relaxed, DFT PBE; D(E_F) = 0.6 states/eV/f.u.; symmetry = C2/m (12); polymorph energy (0 for the lowest one) = 31 meV/atom; formation energy from the elements = -0.014 eV per atom
1.0
-0.276 2.975 -3.078
-4.482 1.615 1.964
3.714 1.849 4.443
Mg Zn Cd
2 2 2
direct
0.130 0.324 0.260
0.870 0.676 0.740
0.231 0.851 0.462
0.769 0.149 0.538
0.432 0.235 0.863
0.568 0.765 0.137